Entry 1:
Density functional theory data (GGA-PBE) for crystalline ZnInOs2 at its relaxed geometry.

a = 5.310 Å, b = 5.310 Å, c = 5.310 Å
α = 147.83°, β = 126.89°, γ = 63.47°
Element x y z (fractional)
In1 0.250 0.750 0.500
Os1 0.985 0.985 0.000
Os2 0.515 0.515 0.000
Zn1 0.750 0.250 0.500

Output
SG = Immm
formation enthalpy at 0 K = 196 kJ/mol of formula units
ρ = 14.75 Mg/m³

---

Entry 2:
Density functional theory data (GGA-PBE) for crystalline Zn2InOs at its relaxed geometry.

a = 4.470 Å, b = 4.470 Å, c = 3.295 Å
α = 90.00°, β = 90.00°, γ = 102.52°
Element x y z (fractional)
In1 0.500 0.000 0.500
Os1 0.000 0.500 0.500
Zn1 0.000 0.000 0.000
Zn2 0.500 0.500 0.000

Output
SG = Cmmm
formation enthalpy at 0 K = 128 kJ/mol of formula units
ρ = 11.26 Mg/m³

---

Entry 3:
Density functional theory data (GGA-PBE) for crystalline Zn2InOs at its relaxed geometry.

a = 8.890 Å, b = 8.890 Å, c = 8.890 Å
α = 19.20°, β = 19.20°, γ = 19.20°
Element x y z (fractional)
In1 0.499 0.499 0.499
Os1 0.745 0.745 0.745
Zn1 0.001 0.001 0.001
Zn2 0.256 0.256 0.256

Output
SG = R3m
formation enthalpy at 0 K = 139 kJ/mol of formula units
ρ = 10.89 Mg/m³

---

Entry 4:
Density functional theory data (GGA-PBE) for crystalline ZnInOs3 at its relaxed geometry.

a = 4.528 Å, b = 4.528 Å, c = 4.528 Å
α = 90.00°, β = 90.00°, γ = 90.00°
Each line ends with the local moment (μB).
Element x y z (fractional)
Zn1 0.000 0.000 0.000  0.03
Os1 0.000 0.500 0.000  0.73
Os2 0.000 0.000 0.500  0.78
Os3 0.500 0.000 0.000  0.57
In1 0.500 0.500 0.500  -0.02

Output
SG = Pm-3m
formation enthalpy at 0 K = 900 kJ/mol of formula units
ρ = 13.44 Mg/m³
excess energy over the best structure of this formula in the dataset = 0.0000 eV per atom

---

Entry 5:
Density functional theory data (GGA-PBE) for crystalline ZnInOs2 at its relaxed geometry.

a = 2.855 Å, b = 2.855 Å, c = 8.212 Å
α = 90.00°, β = 90.00°, γ = 90.00°
Element x y z (fractional)
In1 0.500 0.500 0.771
Os1 0.000 0.000 0.034
Os2 0.500 0.500 0.236
Zn1 0.000 0.000 0.459

Output
SG = P4mm
formation enthalpy at 0 K = 91 kJ/mol of formula units
ρ = 13.91 Mg/m³

---

Entry 6:
Density functional theory data (GGA-PBE) for crystalline ZnInOs at its relaxed geometry.

a = 2.964 Å, b = 2.964 Å, c = 6.758 Å
α = 90.00°, β = 90.00°, γ = 120.00°
Element x y z (fractional)
In1 0.000 0.000 0.010
Os1 0.667 0.333 0.346
Zn1 0.333 0.667 0.643

Output
SG = P3m1
formation enthalpy at 0 K = 137 kJ/mol of formula units
ρ = 11.97 Mg/m³
excess energy over the best structure of this formula in the dataset = 0.1220 eV per atom